{"formula": "ScTa2Ni", "functional": "PBEsol", "state": "relaxed", "relative_energy_mev_per_atom": 140, "energy_ev_per_atom": -9.3807, "formation_enthalpy_0k_ev_per_atom": 0.0855, "cell": [[3.0417, 0.0000, 0.0000], [0.0000, 4.8218, 0.0000], [-1.5208, -2.4109, 4.5293]], "species": ["Ta", "Ta", "Ni", "Sc"], "frac_coords": [[0.0097, 0.0097, 0.0194], [0.7701, 0.2701, 0.5402], [0.4905, 0.4905, 0.9809], [0.2298, 0.7298, 0.4595]]}